(1)
First-principles (PBE) data for AcAgAu2 after structural relaxation, as listed in Alexandria.

abc: 4.2012 4.8566 4.8566
angles: 90.00 90.00 90.00
Fractional positions:
Ac 0.5000 0.5000 0.5000
Ag 0.5000 0.0000 0.0000
Au 0.0000 0.0000 0.5000
Au 0.0000 0.5000 0.0000

Properties
- Density: 12213 kg/m³
- DOS at the Fermi energy: 1.95 states/eV per cell
- Formation energy: -0.389 eV/atom
- Symmetry: P4/mmm, No. 123
- Energy above the lowest structure with this stoichiometry: 220 meV per atom

(2)
First-principles (PBE) data for Ac6AgAu5 after structural relaxation, as listed in Alexandria.

abc: 5.5464 9.6097 9.6097
angles: 120.03 106.87 106.87
Fractional positions:
Ac 0.2521 0.0835 0.4206
Ac 0.7479 0.5794 0.9165
Ac 0.7549 0.2547 0.2547
Ac 0.7479 0.9165 0.5794
Ac 0.2521 0.4206 0.0835
Ac 0.2451 0.7453 0.7453
Au 0.5000 0.1607 0.8393
Au 0.5000 0.8393 0.1607
Au 0.0000 0.6674 0.3326
Au 0.0000 0.3326 0.6674
Au 0.5000 0.5000 0.5000
Ag 0.0000 0.0000 0.0000

Properties
- Density: 11291 kg/m³
- DOS at the Fermi energy: 5.90 states/eV per cell
- Formation energy: -0.691 eV/atom
- Symmetry: C2/m, No. 12

(3)
First-principles (PBE) data for AcAg2Au8 after structural relaxation, as listed in Alexandria.

abc: 5.5333 5.5333 9.1246
angles: 90.00 90.00 90.00
Fractional positions:
Ac 0.5000 0.5000 0.5000
Au 0.7529 0.2471 0.7701
Au 0.7529 0.7529 0.2299
Au 0.7529 0.2471 0.2299
Au 0.2471 0.7529 0.2299
Au 0.2471 0.7529 0.7701
Au 0.7529 0.7529 0.7701
Au 0.2471 0.2471 0.2299
Au 0.2471 0.2471 0.7701
Ag 0.5000 0.0000 0.0000
Ag 0.0000 0.5000 0.0000

Properties
- Density: 11997 kg/m³
- DOS at the Fermi energy: 4.12 states/eV per cell
- Formation energy: -0.067 eV/atom
- Symmetry: P4/mmm, No. 123

(4)
First-principles (PBE) data for Ac5AgAu2 after structural relaxation, as listed in Alexandria.

abc: 8.2268 8.2268 9.9830
angles: 114.33 114.33 90.00
Fractional positions:
Ac 0.8101 0.9841 0.2942
Ac 0.3101 0.8101 0.2942
Ac 0.0159 0.5159 0.7058
Ac 0.5159 0.6899 0.7058
Ac 0.9841 0.4841 0.2942
Ac 0.4841 0.3101 0.2942
Ac 0.5000 0.5000 0.0000
Ac 0.6899 0.1899 0.7058
Ac 0.0000 0.0000 0.0000
Ac 0.1899 0.0159 0.7058
Ag 0.7500 0.7500 0.5000
Ag 0.2500 0.2500 0.5000
Au 0.1313 0.3687 0.0000
Au 0.3687 0.8687 0.0000
Au 0.8687 0.6313 0.0000
Au 0.6313 0.1313 0.0000

Properties
- Density: 9900 kg/m³
- DOS at the Fermi energy: 24.44 states/eV per cell
- Formation energy: -0.416 eV/atom
- Symmetry: I4/mcm, No. 140

(5)
First-principles (PBE) data for Ac2Ag2Au3 after structural relaxation, as listed in Alexandria.

abc: 4.3771 8.0772 10.4140
angles: 90.00 102.13 90.00
Fractional positions:
Ag 0.6912 0.5532 0.3823
Ag 0.3088 0.4468 0.6177
Ag 0.3088 0.0532 0.6177
Ag 0.6912 0.9468 0.3823
Ac 0.9381 0.2500 0.8761
Ac 0.0619 0.7500 0.1239
Ac 0.8431 0.7500 0.6862
Ac 0.1569 0.2500 0.3138
Au 0.5610 0.4284 0.1221
Au 0.5610 0.0716 0.1221
Au 0.7742 0.2500 0.5483
Au 0.4390 0.5716 0.8779
Au 0.4390 0.9284 0.8779
Au 0.2258 0.7500 0.4517

Properties
- Density: 11631 kg/m³
- DOS at the Fermi energy: 7.39 states/eV per cell
- Formation energy: -0.597 eV/atom
- Symmetry: Cmcm, No. 63
- Energy above the lowest structure with this stoichiometry: 0 meV per atom

(6)
First-principles (PBE) data for Ac3Ag4Au2 after structural relaxation, as listed in Alexandria.

abc: 4.8791 6.2850 9.2295
angles: 108.85 90.00 112.84
Fractional positions:
Ag 0.0488 0.0976 0.3838
Ag 0.7241 0.4483 0.0552
Ag 0.9512 0.9024 0.6162
Ag 0.2759 0.5517 0.9448
Au 0.6069 0.2139 0.2758
Au 0.3931 0.7861 0.7242
Ac 0.0000 0.0000 0.0000
Ac 0.6703 0.3405 0.6618
Ac 0.3297 0.6595 0.3382

Properties
- Density: 10240 kg/m³
- DOS at the Fermi energy: 5.80 states/eV per cell
- Formation energy: -0.500 eV/atom
- Symmetry: C2/m, No. 12

(7)
First-principles (PBE) data for Ac3AgAu2 after structural relaxation, as listed in Alexandria.

abc: 3.9232 3.9232 11.8044
angles: 90.00 90.00 90.00
Fractional positions:
Ac 0.0000 0.0000 0.0000
Ac 0.0000 0.0000 0.6722
Ac 0.0000 0.0000 0.3278
Au 0.5000 0.5000 0.1682
Au 0.5000 0.5000 0.8318
Ag 0.5000 0.5000 0.5000

Properties
- Density: 10810 kg/m³
- DOS at the Fermi energy: 3.67 states/eV per cell
- Formation energy: -0.607 eV/atom
- Symmetry: P4/mmm, No. 123
- Energy above the lowest structure with this stoichiometry: 0 meV per atom

(8)
First-principles (PBE) data for Ac5Ag2Au after structural relaxation, as listed in Alexandria.

abc: 7.9773 7.9773 10.3667
angles: 112.63 112.63 90.00
Fractional positions:
Ac 0.4826 0.3234 0.3060
Ac 0.6766 0.1766 0.6940
Ac 0.0000 0.0000 0.0000
Ac 0.5174 0.6766 0.6940
Ac 0.3234 0.8234 0.3060
Ac 0.9826 0.4826 0.3060
Ac 0.8234 0.9826 0.3060
Ac 0.0174 0.5174 0.6940
Ac 0.5000 0.5000 0.0000
Ac 0.1766 0.0174 0.6940
Ag 0.6239 0.1239 0.0000
Ag 0.3761 0.8761 0.0000
Ag 0.1239 0.3761 0.0000
Ag 0.8761 0.6239 0.0000
Au 0.7500 0.7500 0.5000
Au 0.2500 0.2500 0.5000

Properties
- Density: 9287 kg/m³
- DOS at the Fermi energy: 24.58 states/eV per cell
- Formation energy: -0.284 eV/atom
- Symmetry: I4/mcm, No. 140

(9)
First-principles (PBE) data for AcAg2Au10 after structural relaxation, as listed in Alexandria.

abc: 5.7218 7.3539 7.3063
angles: 81.24 66.95 67.11
Fractional positions:
Au 0.6515 0.3500 0.3470
Au 0.5000 0.0000 0.5000
Au 0.7172 0.7815 0.7841
Au 0.2828 0.2185 0.2159
Au 0.5013 0.7815 0.2159
Au 0.4987 0.2185 0.7841
Au 0.0015 0.6500 0.3470
Au 0.3485 0.6500 0.6530
Au 0.9985 0.3500 0.6530
Au 0.0000 0.0000 0.5000
Ag 0.0000 0.5000 0.0000
Ag 0.5000 0.5000 0.0000
Ac 0.0000 0.0000 0.0000

Properties
- Density: 15372 kg/m³
- DOS at the Fermi energy: 4.23 states/eV per cell
- Formation energy: -0.224 eV/atom
- Symmetry: Fmmm, No. 69

(10)
First-principles (PBE) data for Ac2AgAu3 after structural relaxation, as listed in Alexandria.

abc: 6.2461 6.2461 9.2979
angles: 105.81 105.81 100.89
Fractional positions:
Ac 0.2500 0.7500 0.5000
Ac 0.7500 0.2500 0.5000
Ac 0.7519 0.7519 0.0000
Ac 0.2481 0.2481 0.0000
Au 0.8314 0.3359 0.1673
Au 0.1684 0.1684 0.3368
Au 0.8316 0.8316 0.6632
Au 0.1686 0.6641 0.8327
Au 0.3359 0.8314 0.1673
Au 0.6641 0.1686 0.8327
Ag 0.3334 0.3334 0.6667
Ag 0.6666 0.6666 0.3333

Properties
- Density: 11890 kg/m³
- DOS at the Fermi energy: 7.59 states/eV per cell
- Formation energy: -0.716 eV/atom
- Symmetry: Fmmm, No. 69
- Energy above the lowest structure with this stoichiometry: 0 meV per atom